A relaxed structure of Lu3Pb, computed with PBE-GGA.

Computed properties:
The calculation puts the formation energy at -165 meV/atom.

Cell and atoms, written as CIF:
```
data_Lu3Pb
_chemical_formula_sum 'Lu3 Pb1'
_symmetry_space_group_name_H-M 'P m m 2'
_symmetry_Int_Tables_number 25
_cell_length_a 3.476
_cell_length_b 5.462
_cell_length_c 5.923
_cell_angle_alpha 90.00
_cell_angle_beta 90.00
_cell_angle_gamma 90.00
loop_
_symmetry_equiv_pos_as_xyz
'x,y,z'
'-x,-y,z'
'-x,y,z'
'x,-y,z'
loop_
_atom_site_label
_atom_site_type_symbol
_atom_site_fract_x
_atom_site_fract_y
_atom_site_fract_z
Lu1 Lu 0.000 0.000 0.000
Lu2 Lu 0.000 0.500 0.338
Lu3 Lu 0.500 0.000 0.500
Pb1 Pb 0.500 0.500 0.826
```

=====

A relaxed structure of Sm2GaCu12Ni3, computed with PBE-GGA.

Computed properties:
The calculation puts the formation energy at 16 meV/atom.

Cell and atoms, written as CIF:
```
data_Sm2GaCu12Ni3
_chemical_formula_sum 'Sm6 Ga3 Cu36 Ni9'
_symmetry_space_group_name_H-M 'R -3 m'
_symmetry_Int_Tables_number 166
_symmetry_space_group_name_Hall '-R 3 2"'
_cell_length_a 8.4841
_cell_length_b 8.4841
_cell_length_c 12.3778
_cell_angle_alpha 90.00
_cell_angle_beta 90.00
_cell_angle_gamma 120.00
loop_
_atom_site_label
_atom_site_type_symbol
_atom_site_fract_x
_atom_site_fract_y
_atom_site_fract_z
Sm1 Sm 0.0000 0.0000 0.2464
Ga1 Ga 0.0000 0.0000 0.5000
Cu1 Cu 0.0175 0.5087 0.2081
Cu2 Cu 0.0534 0.5267 0.6009
Ni1 Ni 0.0000 0.5000 0.0000
```

=====

A relaxed structure of Re2Cl, computed with PBE-GGA.

Computed properties:
The calculation puts the excess energy over the best structure of this formula in the dataset at 0.000 eV/atom. The formation energy without anion corrections comes out at 0.179 eV/atom.

Cell and atoms, written as CIF:
```
data_Re2Cl
_chemical_formula_sum 'Re8 Cl4'
_symmetry_space_group_name_H-M 'C m c m'
_symmetry_Int_Tables_number 63
_symmetry_space_group_name_Hall '-C 2c 2'
_cell_length_a 2.954
_cell_length_b 18.351
_cell_length_c 4.213
_cell_angle_alpha 90.00
_cell_angle_beta 90.00
_cell_angle_gamma 90.00
loop_
_atom_site_label
_atom_site_type_symbol
_atom_site_fract_x
_atom_site_fract_y
_atom_site_fract_z
Re1 Re 0.000 0.040 0.250
Re2 Re 0.000 0.417 0.250
Cl1 Cl 0.000 0.329 0.750
```

=====

A relaxed structure of Cs3CuBr5, computed with PBE-GGA.

Computed properties:
The formation energy without anion corrections comes out at -1.294 eV/atom.

Cell and atoms, written as CIF:
```
data_Cs3CuBr5
_chemical_formula_sum 'Cs12 Cu4 Br20'
_symmetry_space_group_name_H-M 'I 4/m c m'
_symmetry_Int_Tables_number 140
_symmetry_space_group_name_Hall '-I 4 2c'
_cell_length_a 9.813
_cell_length_b 9.813
_cell_length_c 15.499
_cell_angle_alpha 90.00
_cell_angle_beta 90.00
_cell_angle_gamma 90.00
loop_
_atom_site_label
_atom_site_type_symbol
_atom_site_fract_x
_atom_site_fract_y
_atom_site_fract_z
Cs1 Cs 0.000 0.000 0.250
Cs2 Cs 0.164 0.336 0.000
Cu1 Cu 0.000 0.500 0.250
Br1 Br 0.000 0.000 0.000
Br2 Br 0.137 0.363 0.346
```

=====

A relaxed structure of Hf3Th5Ag12, computed with PBE-GGA.

Computed properties:
The calculation puts the formation energy at 575 meV/atom.

Cell and atoms, written as CIF:
```
data_Hf3Th5Ag12
_chemical_formula_sum 'Hf24 Th40 Ag96'
_symmetry_space_group_name_H-M 'I a -3 d'
_symmetry_Int_Tables_number 230
_symmetry_space_group_name_Hall '-I 4bd 2c 3'
_cell_length_a 16.621
_cell_length_b 16.621
_cell_length_c 16.621
_cell_angle_alpha 90.00
_cell_angle_beta 90.00
_cell_angle_gamma 90.00
loop_
_atom_site_label
_atom_site_type_symbol
_atom_site_fract_x
_atom_site_fract_y
_atom_site_fract_z
Hf1 Hf 0.000 0.250 0.125
Th1 Th 0.000 0.000 0.000
Th2 Th 0.000 0.250 0.375
Ag1 Ag 0.002 0.082 0.654
```

=====

A relaxed structure of Ce2Ho3PuAs6, computed with PBE-GGA.

Computed properties:
The calculation puts the formation energy at -1410 meV/atom.

Cell and atoms, written as CIF:
```
data_Ce2Ho3PuAs6
_chemical_formula_sum 'Ce4 Ho6 Pu2 As12'
_symmetry_space_group_name_H-M 'C 1 2/m 1'
_symmetry_Int_Tables_number 12
_cell_length_a 18.065
_cell_length_b 4.151
_cell_length_c 8.279
_cell_angle_alpha 90.00
_cell_angle_beta 103.21
_cell_angle_gamma 90.00
loop_
_symmetry_equiv_pos_as_xyz
'x,y,z'
'-x,-y,-z'
'-x,y,-z'
'x,-y,z'
'x+1/2,y+1/2,z'
'-x+1/2,-y+1/2,-z'
'-x+1/2,y+1/2,-z'
'x+1/2,-y+1/2,z'
loop_
_atom_site_label
_atom_site_type_symbol
_atom_site_fract_x
_atom_site_fract_y
_atom_site_fract_z
Ce1 Ce 0.166 0.000 0.332
Ho1 Ho 0.000 0.500 0.500
Ho2 Ho 0.167 0.000 0.834
Pu1 Pu 0.000 0.500 0.000
As1 As 0.001 0.000 0.750
As2 As 0.166 0.500 0.586
As3 As 0.167 0.500 0.080
```

=====

A relaxed structure of MnFe3Pd, computed with PBE-GGA.

Computed properties:
The calculation puts the excess energy over the best structure of this formula in the dataset at 0.336 eV/atom. The calculation puts the formation energy at 1344 meV/atom.

Cell and atoms, written as CIF:
```
data_MnFe3Pd
_chemical_formula_sum 'Mn1 Fe3 Pd1'
_symmetry_space_group_name_H-M 'P m -3 m'
_symmetry_Int_Tables_number 221
_symmetry_space_group_name_Hall '-P 4 2 3'
_cell_length_a 4.615
_cell_length_b 4.615
_cell_length_c 4.615
_cell_angle_alpha 90.00
_cell_angle_beta 90.00
_cell_angle_gamma 90.00
loop_
_atom_site_label
_atom_site_type_symbol
_atom_site_fract_x
_atom_site_fract_y
_atom_site_fract_z
Mn1 Mn 0.000 0.000 0.000
Fe1 Fe 0.000 0.500 0.500
Pd1 Pd 0.500 0.500 0.500
```

=====

A relaxed structure of TbCe2In, computed with PBE-GGA.

Computed properties:
The calculation puts the excess energy over the best structure of this formula in the dataset at 0.043 eV/atom. The calculation puts the formation energy at -201 meV/atom.

Cell and atoms, written as CIF:
```
data_TbCe2In
_chemical_formula_sum 'Tb2 Ce4 In2'
_symmetry_space_group_name_H-M 'P 1 21/m 1'
_symmetry_Int_Tables_number 11
_cell_length_a 4.578
_cell_length_b 4.310
_cell_length_c 11.550
_cell_angle_alpha 90.00
_cell_angle_beta 99.32
_cell_angle_gamma 90.00
loop_
_symmetry_equiv_pos_as_xyz
'x,y,z'
'-x,-y,-z'
'-x,y+1/2,-z'
'x,-y+1/2,z'
loop_
_atom_site_label
_atom_site_type_symbol
_atom_site_fract_x
_atom_site_fract_y
_atom_site_fract_z
Tb1 Tb 0.199 0.250 0.394
Ce1 Ce 0.112 0.750 0.117
Ce2 Ce 0.498 0.750 0.888
In1 In 0.321 0.250 0.672
```

=====

A relaxed structure of OF, computed with PBE-GGA.

Computed properties:
The calculation puts the excess energy over the best structure of this formula in the dataset at 1.242 eV/atom. The formation energy without anion corrections comes out at 1.097 eV/atom.

Cell and atoms, written as CIF:
```
data_OF
_chemical_formula_sum 'O6 F6'
_symmetry_space_group_name_H-M 'R -3 m'
_symmetry_Int_Tables_number 166
_symmetry_space_group_name_Hall '-R 3 2"'
_cell_length_a 3.0179
_cell_length_b 3.0179
_cell_length_c 21.8507
_cell_angle_alpha 90.00
_cell_angle_beta 90.00
_cell_angle_gamma 120.00
loop_
_atom_site_label
_atom_site_type_symbol
_atom_site_fract_x
_atom_site_fract_y
_atom_site_fract_z
O1 O 0.0000 0.0000 0.1066
F1 F 0.0000 0.0000 0.3905
```

=====

A relaxed structure of Sm2Cu9Ag, computed with PBE-GGA.

Computed properties:
The calculation puts the formation energy at -50 meV/atom.

Cell and atoms, written as CIF:
```
data_Sm2Cu9Ag
_chemical_formula_sum 'Sm6 Cu27 Ag3'
_symmetry_space_group_name_H-M 'R -3 m'
_symmetry_Int_Tables_number 166
_symmetry_space_group_name_Hall '-R 3 2"'
_cell_length_a 5.1337
_cell_length_b 5.1337
_cell_length_c 24.7600
_cell_angle_alpha 90.00
_cell_angle_beta 90.00
_cell_angle_gamma 120.00
loop_
_atom_site_label
_atom_site_type_symbol
_atom_site_fract_x
_atom_site_fract_y
_atom_site_fract_z
Sm1 Sm 0.0000 0.0000 0.1339
Cu1 Cu 0.0000 0.0000 0.3329
Cu2 Cu 0.0000 0.0000 0.5000
Cu3 Cu 0.0014 0.5007 0.9197
Ag1 Ag 0.0000 0.0000 0.0000
```

=====

A relaxed structure of Ni2CI, computed with PBE-GGA.

Computed properties:
The calculation puts the excess energy over the best structure of this formula in the dataset at 0.086 eV/atom. The formation energy without anion corrections comes out at 0.315 eV/atom.

Cell and atoms, written as CIF:
```
data_Ni2CI
_chemical_formula_sum 'Ni4 C2 I2'
_symmetry_space_group_name_H-M 'P 1'
_symmetry_Int_Tables_number 1
_cell_length_a 3.915
_cell_length_b 4.643
_cell_length_c 9.237
_cell_angle_alpha 89.66
_cell_angle_beta 83.55
_cell_angle_gamma 68.19
loop_
_symmetry_equiv_pos_as_xyz
'x,y,z'
loop_
_atom_site_label
_atom_site_type_symbol
_atom_site_fract_x
_atom_site_fract_y
_atom_site_fract_z
Ni1 Ni 0.000 0.000 0.000
Ni2 Ni 0.017 0.496 0.889
Ni3 Ni 0.541 0.989 0.834
Ni4 Ni 0.575 0.769 0.114
C1 C 0.453 0.634 0.941
C2 C 0.613 0.312 0.925
I1 I 0.270 0.289 0.622
I2 I 0.994 0.855 0.285
```

=====

A relaxed structure of LaScBi3, computed with PBE-GGA.

Computed properties:
The calculation puts the excess energy over the best structure of this formula in the dataset at 0.119 eV/atom. The calculation puts the formation energy at -541 meV/atom.

Cell and atoms, written as CIF:
```
data_LaScBi3
_chemical_formula_sum 'La2 Sc2 Bi6'
_symmetry_space_group_name_H-M 'P 1 21/m 1'
_symmetry_Int_Tables_number 11
_cell_length_a 5.976
_cell_length_b 5.914
_cell_length_c 8.984
_cell_angle_alpha 90.00
_cell_angle_beta 103.04
_cell_angle_gamma 90.00
loop_
_symmetry_equiv_pos_as_xyz
'x,y,z'
'-x,-y,-z'
'-x,y+1/2,-z'
'x,-y+1/2,z'
loop_
_atom_site_label
_atom_site_type_symbol
_atom_site_fract_x
_atom_site_fract_y
_atom_site_fract_z
La1 La 0.096 0.250 0.303
Sc1 Sc 0.425 0.250 0.762
Bi1 Bi 0.029 0.750 0.126
Bi2 Bi 0.292 0.750 0.490
Bi3 Bi 0.467 0.750 0.871
```

=====

A relaxed structure of BaNa3Y, computed with PBE-GGA.

Computed properties:
The calculation puts the excess energy over the best structure of this formula in the dataset at 0.000 eV/atom. The calculation puts the formation energy at 635 meV/atom.

Cell and atoms, written as CIF:
```
data_BaNa3Y
_chemical_formula_sum 'Ba1 Na3 Y1'
_symmetry_space_group_name_H-M 'P m -3 m'
_symmetry_Int_Tables_number 221
_symmetry_space_group_name_Hall '-P 4 2 3'
_cell_length_a 6.320
_cell_length_b 6.320
_cell_length_c 6.320
_cell_angle_alpha 90.00
_cell_angle_beta 90.00
_cell_angle_gamma 90.00
loop_
_atom_site_label
_atom_site_type_symbol
_atom_site_fract_x
_atom_site_fract_y
_atom_site_fract_z
Ba1 Ba 0.000 0.000 0.000
Na1 Na 0.000 0.500 0.500
Y1 Y 0.500 0.500 0.500
```

=====

A relaxed structure of LaHfV2, computed with PBE-GGA.

Computed properties:
The calculation puts the excess energy over the best structure of this formula in the dataset at 0.471 eV/atom. The calculation puts the formation energy at 936 meV/atom.

Cell and atoms, written as CIF:
```
data_LaHfV2
_chemical_formula_sum 'La4 Hf4 V8'
_symmetry_space_group_name_H-M 'I -4 2 d'
_symmetry_Int_Tables_number 122
_symmetry_space_group_name_Hall 'I -4 2bw'
_cell_length_a 7.485
_cell_length_b 7.485
_cell_length_c 5.900
_cell_angle_alpha 90.00
_cell_angle_beta 90.00
_cell_angle_gamma 90.00
loop_
_atom_site_label
_atom_site_type_symbol
_atom_site_fract_x
_atom_site_fract_y
_atom_site_fract_z
La1 La 0.000 0.000 0.000
Hf1 Hf 0.000 0.000 0.500
V1 V 0.242 0.750 0.625
```

=====

A relaxed structure of BaVH, computed with PBE-GGA.

Computed properties:
The calculation puts the excess energy over the best structure of this formula in the dataset at 1.188 eV/atom.

Cell and atoms, written as CIF:
```
data_BaVH
_chemical_formula_sum 'Ba1 V1 H1'
_symmetry_space_group_name_H-M 'P -6 m 2'
_symmetry_Int_Tables_number 187
_symmetry_space_group_name_Hall 'P -6 2'
_cell_length_a 5.1872
_cell_length_b 5.1872
_cell_length_c 3.1511
_cell_angle_alpha 90.00
_cell_angle_beta 90.00
_cell_angle_gamma 120.00
loop_
_atom_site_label
_atom_site_type_symbol
_atom_site_fract_x
_atom_site_fract_y
_atom_site_fract_z
Ba1 Ba 0.0000 0.0000 0.0000
V1 V 0.3333 0.6667 0.0000
H1 H 0.6667 0.3333 0.5000
```

=====

A relaxed structure of KGeBr3, computed with PBE-GGA.

Computed properties:
The formation energy without anion corrections comes out at -0.738 eV/atom.

Cell and atoms, written as CIF:
```
data_KGeBr3
_chemical_formula_sum 'K4 Ge4 Br12'
_symmetry_space_group_name_H-M 'I -4 m 2'
_symmetry_Int_Tables_number 119
_symmetry_space_group_name_Hall 'I -4 -2'
_cell_length_a 6.692
_cell_length_b 6.692
_cell_length_c 17.258
_cell_angle_alpha 90.00
_cell_angle_beta 90.00
_cell_angle_gamma 90.00
loop_
_atom_site_label
_atom_site_type_symbol
_atom_site_fract_x
_atom_site_fract_y
_atom_site_fract_z
K1 K 0.000 0.000 0.117
Ge1 Ge 0.000 0.000 0.500
Ge2 Ge 0.000 0.500 0.250
Br1 Br 0.000 0.239 0.359
Br2 Br 0.000 0.500 0.552
```

=====

A relaxed structure of KAg2Rh, computed with PBE-GGA.

Computed properties:
The calculation puts the excess energy over the best structure of this formula in the dataset at 0.089 eV/atom. The calculation puts the formation energy at 418 meV/atom.

Cell and atoms, written as CIF:
```
data_KAg2Rh
_chemical_formula_sum 'K2 Ag4 Rh2'
_symmetry_space_group_name_H-M 'I m m m'
_symmetry_Int_Tables_number 71
_symmetry_space_group_name_Hall '-I 2 2'
_cell_length_a 2.833
_cell_length_b 5.442
_cell_length_c 11.230
_cell_angle_alpha 90.00
_cell_angle_beta 90.00
_cell_angle_gamma 90.00
loop_
_atom_site_label
_atom_site_type_symbol
_atom_site_fract_x
_atom_site_fract_y
_atom_site_fract_z
K1 K 0.000 0.000 0.000
Ag1 Ag 0.000 0.500 0.213
Rh1 Rh 0.000 0.000 0.500
```

=====

A relaxed structure of Tb4Ni2C, computed with PBE-GGA.

Computed properties:
The calculation puts the formation energy at 4 meV/atom.

Cell and atoms, written as CIF:
```
data_Tb4Ni2C
_chemical_formula_sum 'Tb8 Ni4 C2'
_symmetry_space_group_name_H-M 'I 4/m m m'
_symmetry_Int_Tables_number 139
_symmetry_space_group_name_Hall '-I 4 2'
_cell_length_a 4.783
_cell_length_b 4.783
_cell_length_c 14.343
_cell_angle_alpha 90.00
_cell_angle_beta 90.00
_cell_angle_gamma 90.00
loop_
_atom_site_label
_atom_site_type_symbol
_atom_site_fract_x
_atom_site_fract_y
_atom_site_fract_z
Tb1 Tb 0.000 0.000 0.192
Tb2 Tb 0.000 0.500 0.000
Ni1 Ni 0.000 0.000 0.372
C1 C 0.000 0.000 0.500
```

=====

A relaxed structure of FePCSe, computed with PBE-GGA.

Computed properties:
The calculation puts the excess energy over the best structure of this formula in the dataset at 0.043 eV/atom. The formation energy without anion corrections comes out at 0.323 eV/atom.

Cell and atoms, written as CIF:
```
data_FePCSe
_chemical_formula_sum 'Fe2 P2 C2 Se2'
_symmetry_space_group_name_H-M 'C 1 m 1'
_symmetry_Int_Tables_number 8
_cell_length_a 13.568
_cell_length_b 2.911
_cell_length_c 3.449
_cell_angle_alpha 90.00
_cell_angle_beta 90.93
_cell_angle_gamma 90.00
loop_
_symmetry_equiv_pos_as_xyz
'x,y,z'
'x,-y,z'
'x+1/2,y+1/2,z'
'x+1/2,-y+1/2,z'
loop_
_atom_site_label
_atom_site_type_symbol
_atom_site_fract_x
_atom_site_fract_y
_atom_site_fract_z
Fe1 Fe 0.000 0.000 0.000
P1 P 0.374 0.000 0.685
C1 C 0.426 0.500 0.462
Se1 Se 0.129 0.500 0.067
```